*w*
This record from Alexandria via LeMat-Bulk describes a geometry-optimized K2LiCr structure. The functional is PBE-GGA.

```
K2LiCr
1.0
-8.8907 3.7222 0.9967
0.0650 -2.3612 9.3975
-3.0462 3.7414 5.9568
K Cr Li
4 2 2
Cartesian
-10.0072 3.9981 13.5578
-1.8368 -0.0733 7.4877
-6.3056 2.9647 3.2863
-5.5943 3.3152 8.3702
-8.1749 4.0721 6.0753
0.0000 0.0000 0.0000
-4.4129 0.6805 5.1971
-3.6970 1.0303 10.2757
```

=====

*x*
This record from Alexandria via LeMat-Bulk describes a geometry-optimized K2LiCr structure. The functional is PBE-GGA.

```
K2LiCr
1.0
12.2562 -0.0521 -0.0306
11.6582 3.7819 -0.0306
11.6582 1.8183 3.3163
Cr K Li
1 2 1
Cartesian
26.6794 4.1611 2.4414
0.1509 0.0235 0.0138
17.6354 2.7505 1.6138
8.8931 1.3870 0.8138
```

=====

*y*
This record from Alexandria via LeMat-Bulk describes a geometry-optimized K2LiCr structure. The functional is PBE-GGA.

```
K2LiCr
1.0
6.3867 -0.8892 0.7712
4.7889 4.3182 0.7712
1.8103 0.5554 5.1388
Cr Li K
1 1 2
Cartesian
9.7395 2.9884 5.0109
3.2465 0.9961 1.6703
1.8110 0.5557 5.1388
6.4923 1.9920 3.3406
```

=====

Quick one: most stable of them? *y*

=====

*w*
This record from Alexandria via LeMat-Bulk describes a geometry-optimized K2LiCr structure. The functional is PBE-GGA.

```
K2LiCr
1.0
-3.8741 0.1459 0.7647
-0.1634 -3.9404 -0.0761
1.9747 -0.2761 10.0569
Cr K Li
1 2 1
Cartesian
-0.6903 -2.0830 7.1100
-1.3919 -1.9849 3.5372
1.8299 -0.2558 9.3192
1.1515 -0.1610 5.8645
```

=====

*x*
This record from Alexandria via LeMat-Bulk describes a geometry-optimized K2LiCr structure. The functional is PBE-GGA.

```
K2LiCr
1.0
0.0000 4.3191 4.3191
4.3191 0.0000 4.3191
4.3191 4.3191 0.0000
Li K Cr
1 2 1
Cartesian
0.0000 0.0000 0.0000
6.4786 6.4786 6.4786
2.1595 2.1595 2.1595
4.3191 4.3191 4.3191
```

=====

*y*
This record from Alexandria via LeMat-Bulk describes a geometry-optimized K2LiCr structure. The functional is PBE-GGA.

```
K2LiCr
1.0
-1.1458 -4.2432 4.0238
4.3618 -2.0251 3.5189
-0.0011 1.3254 5.8097
Li Cr K
1 1 2
Cartesian
2.4111 -3.7072 10.0143
1.6074 -2.4715 6.6762
0.8037 -1.2357 3.3381
0.0000 0.0000 0.0000
```

=====

*z*
This record from Alexandria via LeMat-Bulk describes a geometry-optimized K2LiCr structure. The functional is PBE-GGA.

```
K2LiCr
1.0
-4.8960 -5.5220 -4.4841
6.5163 -0.9435 0.7940
-0.6867 -3.2749 1.6466
K Li Cr
2 1 1
Cartesian
0.0000 0.0000 0.0000
-2.7913 -4.3984 -1.4187
2.9148 -2.1092 1.2203
0.8102 -3.2328 -1.8450
```

=====

Quick one: most stable of them? *w*

=====

*w*
This record from Alexandria via LeMat-Bulk describes a geometry-optimized K2LiCr structure. The functional is PBE-GGA.

```
K2LiCr
1.0
-5.4663 -0.7556 -1.2463
-1.2287 -0.2164 5.5205
-0.6942 4.9562 0.0398
Cr K Li
1 2 1
Cartesian
-0.9614 2.3699 2.7801
-3.3475 -0.4860 2.1371
0.0000 0.0000 0.0000
-3.0802 2.1003 -0.6033
```

=====

*x*
This record from Alexandria via LeMat-Bulk describes a geometry-optimized K2LiCr structure. The functional is PBE-GGA.

```
K2LiCr
1.0
7.4865 0.2081 0.1986
3.6691 6.5290 -0.1986
-4.7705 -4.7053 3.3515
Li Cr K
1 1 2
Cartesian
5.0305 3.0380 0.0000
2.6586 2.8500 1.5764
3.9545 -0.6805 1.7751
0.3193 0.1928 0.0000
```

=====

Quick one: most stable of them? *x*

=====

*w*
This record from Alexandria via LeMat-Bulk describes a geometry-optimized KMg6Cr structure. The functional is PBE-GGA.

```
KMg6Cr
1.0
0.0698 6.0040 3.1958
-5.7552 -3.4194 -1.2044
0.4947 -2.4501 4.5922
Mg K Cr
6 1 1
Cartesian
-0.8597 0.1138 3.1297
-0.6893 3.1507 4.7316
-3.5246 1.3252 4.0631
-1.8716 2.8633 1.7293
-1.9416 -0.1128 0.1490
-4.7045 1.1432 1.1168
-4.7337 -1.7668 -0.4327
-3.4273 -1.2786 2.6634
```

=====

*x*
This record from Alexandria via LeMat-Bulk describes a geometry-optimized KMg6Cr structure. The functional is PBE-GGA.

```
KMg6Cr
1.0
5.0892 -5.1729 0.0000
5.0892 5.1729 0.0000
0.0000 0.0000 3.7453
Mg K Cr
6 1 1
Cartesian
2.5461 1.2886 0.0000
2.9076 -1.2966 1.8727
5.0892 0.9255 1.8727
7.6323 1.2886 0.0000
5.0892 -3.5053 1.8727
7.2708 -1.2966 1.8727
5.0892 3.8827 0.0000
5.0892 -1.2868 0.0000
```

=====

Quick one: most stable of them? *x*